# 1
{
  "formula": "LiCdRu2",
  "functional": "GGA-PBEsol",
  "state": "optimized geometry",
  "e_form_kcal_per_mol_atoms": 13.02,
  "total_magnetization_mub_per_fu": 0.01,
  "cell": [[2.6094, 0.0000, 0.0000], [0.0000, 2.6094, 0.0000], [0.0000, 0.0000, 8.7106]],
  "species": ["Cd", "Li", "Ru", "Ru"],
  "fractional_positions": [[0.5000, 0.5000, 0.0000], [0.5000, 0.5000, 0.5000], [0.0000, 0.0000, 0.7404], [0.0000, 0.0000, 0.2596]]
}



# 2
{
  "formula": "SiAg2S",
  "functional": "GGA-PBEsol",
  "state": "optimized geometry",
  "total_energy_ev_per_cell": -15.208,
  "total_magnetization_mub_per_fu": 0.00,
  "cell": [[-1.6537, -3.2792, 2.7132], [-0.6090, -4.2212, -1.6308], [2.7148, -3.3981, 1.3898]],
  "species": ["S", "Si", "Ag", "Ag"],
  "fractional_positions": [[0.5000, 0.5000, 0.5000], [0.0000, 0.0000, 0.0000], [0.2500, 0.2500, 0.2500], [0.7500, 0.7500, 0.7500]]
}



# 3
{
  "formula": "Ho4Si2S3O7",
  "functional": "GGA-PBEsol",
  "state": "optimized geometry",
  "total_energy_ev_per_cell": -512.378,
  "total_magnetization_mub_per_fu": 0.00,
  "cell": [[10.5780, 0.0013, -0.0020], [-4.2741, 9.6761, 0.0020], [4.2741, 4.1077, 8.7609]],
  "species": ["Ho", "Ho", "Ho", "Ho", "Ho", "Ho", "Ho", "Ho", "Ho", "Ho", "Ho", "Ho", "Ho", "Ho", "Ho", "Ho", "Si", "Si", "Si", "Si", "Si", "Si", "Si", "Si", "S", "S", "S", "S", "S", "S", "S", "S", "S", "S", "S", "S", "O", "O", "O", "O", "O", "O", "O", "O", "O", "O", "O", "O", "O", "O", "O", "O", "O", "O", "O", "O", "O", "O", "O", "O", "O", "O", "O", "O"],
  "fractional_positions": [[0.8461, 0.9231, 0.5769], [0.0000, 0.6731, 0.6731], [0.0000, 0.3269, 0.3269], [0.1539, 0.5769, 0.9231], [0.6539, 0.3269, 0.6731], [0.5000, 0.5769, 0.5769], [0.5000, 0.9231, 0.9231], [0.3461, 0.6731, 0.3269], [0.2645, 0.2843, 0.4512], [0.7355, 0.2843, 0.9803], [0.7355, 0.4512, 0.2843], [0.2355, 0.2697, 0.9657], [0.7645, 0.7988, 0.9657], [0.7645, 0.9657, 0.2697], [0.2355, 0.9657, 0.7988], [0.2645, 0.9803, 0.2843], [0.3748, 0.5298, 0.0954], [0.6252, 0.5298, 0.8449], [0.6252, 0.0954, 0.5298], [0.1252, 0.4051, 0.7202], [0.8748, 0.1546, 0.7202], [0.8748, 0.7202, 0.4051], [0.1252, 0.7202, 0.1546], [0.3748, 0.8449, 0.5298], [0.1046, 0.1250, 0.2704], [0.1046, 0.9796, 0.6250], [0.8954, 0.2704, 0.1250], [0.8954, 0.6250, 0.9796], [0.3954, 0.1250, 0.9796], [0.3954, 0.2704, 0.6250], [0.6046, 0.9796, 0.1250], [0.6046, 0.6250, 0.2704], [0.0000, 0.0000, 0.0000], [0.5000, 0.2500, 0.2500], [0.5000, 0.7500, 0.7500], [0.0000, 0.5000, 0.5000], [0.2652, 0.4515, 0.2833], [0.7348, 0.4515, 0.8138], [0.7348, 0.2833, 0.4515], [0.2348, 0.4362, 0.7985], [0.7652, 0.9667, 0.7985], [0.7652, 0.7985, 0.4362], [0.2348, 0.7985, 0.9667], [0.2652, 0.8138, 0.4515], [0.5000, 0.4740, 0.0260], [0.0000, 0.2240, 0.7760], [0.0000, 0.7760, 0.2240], [0.5000, 0.0260, 0.4740], [0.0160, 0.5405, 0.1925], [0.9840, 0.7915, 0.4755], [0.9840, 0.1925, 0.5405], [0.2330, 0.7745, 0.7095], [0.7670, 0.0575, 0.4585], [0.7670, 0.7095, 0.7745], [0.2330, 0.4585, 0.0575], [0.0160, 0.4755, 0.7915], [0.4840, 0.7095, 0.0575], [0.5160, 0.4585, 0.7745], [0.5160, 0.0575, 0.7095], [0.2670, 0.4755, 0.5405], [0.7330, 0.1925, 0.7915], [0.7330, 0.5405, 0.4755], [0.2670, 0.7915, 0.1925], [0.4840, 0.7745, 0.4585]]
}



# 4
{
  "formula": "CuOsCl2",
  "functional": "GGA-PBEsol",
  "state": "optimized geometry",
  "total_energy_ev_per_cell": -17.561,
  "total_magnetization_mub_per_fu": 0.24,
  "cell": [[2.9743, 0.0000, 0.0000], [1.4872, 2.5758, 0.0000], [1.4872, 0.8586, 7.5517]],
  "species": ["Os", "Cu", "Cl", "Cl"],
  "fractional_positions": [[0.0000, 0.0000, 0.0000], [0.5000, 0.5000, 0.5000], [0.2456, 0.2456, 0.2631], [0.7544, 0.7544, 0.7369]]
}



# 5
{
  "formula": "Zr2ScZn",
  "functional": "GGA-PBEsol",
  "state": "optimized geometry",
  "e_form_kcal_per_mol_atoms": -2.56,
  "total_magnetization_mub_per_fu": 0.00,
  "cell": [[-1.9457, 2.0340, -1.3539], [-0.1183, -1.8071, -2.5449], [-6.4444, -4.0507, 3.1758]],
  "species": ["Sc", "Zn", "Zr", "Zr"],
  "fractional_positions": [[0.5000, 0.5000, 0.0000], [0.5000, 0.5000, 0.5000], [0.0000, 0.0000, 0.7257], [0.0000, 0.0000, 0.2743]]
}



# 6
{
  "formula": "HgTeP2S",
  "functional": "GGA-PBEsol",
  "state": "optimized geometry",
  "total_energy_ev_per_cell": -14.865,
  "total_magnetization_mub_per_fu": 0.68,
  "cell": [[4.9589, 0.0000, 0.0000], [0.0000, 5.0752, 0.0000], [0.0000, 0.0000, 5.0752]],
  "species": ["P", "P", "S", "Te", "Hg"],
  "fractional_positions": [[0.0000, 0.0000, 0.5000], [0.0000, 0.5000, 0.0000], [0.5000, 0.0000, 0.0000], [0.0000, 0.0000, 0.0000], [0.5000, 0.5000, 0.5000]]
}



# 7
{
  "formula": "Sr2LaSbIr",
  "functional": "GGA-PBEsol",
  "state": "optimized geometry",
  "total_energy_ev_per_cell": -23.630,
  "total_magnetization_mub_per_fu": 0.00,
  "cell": [[-0.6491, 0.2093, 5.0897], [1.0114, -5.5499, 0.3573], [5.5153, 1.0476, 0.6602]],
  "species": ["Sb", "Ir", "Sr", "Sr", "La"],
  "fractional_positions": [[0.5000, 0.0000, 0.0000], [0.0000, 0.0000, 0.0000], [0.0000, 0.0000, 0.5000], [0.0000, 0.5000, 0.0000], [0.5000, 0.5000, 0.5000]]
}



# 8
{
  "formula": "KTl2",
  "functional": "GGA-PBEsol",
  "state": "optimized geometry",
  "relative_energy_mev_per_atom": 0.0,
  "e_form_kcal_per_mol_atoms": -2.19,
  "total_magnetization_mub_per_fu": 0.00,
  "cell": [[3.6753, 0.0000, 0.0000], [-1.8376, 6.9886, 0.0593], [0.0000, -2.1498, 7.3535]],
  "species": ["Tl", "Tl", "Tl", "Tl", "K", "K"],
  "fractional_positions": [[0.6745, 0.3489, 0.5744], [0.3145, 0.6291, 0.8949], [0.6855, 0.3709, 0.1051], [0.3255, 0.6511, 0.4256], [0.9931, 0.9861, 0.2419], [0.0069, 0.0139, 0.7581]]
}



# 9
{
  "formula": "KAg2Os",
  "functional": "GGA-PBEsol",
  "state": "optimized geometry",
  "relative_energy_mev_per_atom": 439.9,
  "e_form_kcal_per_mol_atoms": 29.94,
  "total_magnetization_mub_per_fu": 2.01,
  "cell": [[-4.2362, -1.8579, 1.2017], [-1.3447, -4.2289, -1.7747], [-0.2073, -3.8307, 2.8502]],
  "species": ["Ag", "Ag", "K", "Os"],
  "fractional_positions": [[0.2500, 0.2500, 0.2500], [0.7500, 0.7500, 0.7500], [0.5000, 0.5000, 0.5000], [0.0000, 0.0000, 0.0000]]
}



# 10
{
  "formula": "MnPt2Se",
  "functional": "GGA-PBEsol",
  "state": "optimized geometry",
  "total_energy_ev_per_cell": -27.251,
  "total_magnetization_mub_per_fu": 2.67,
  "cell": [[2.8719, 0.0000, 0.0000], [1.4360, 2.4871, 0.0000], [1.4360, 0.8290, 8.3436]],
  "species": ["Mn", "Pt", "Pt", "Se"],
  "fractional_positions": [[0.2461, 0.2461, 0.2617], [0.9923, 0.9923, 0.0230], [0.7503, 0.7503, 0.7492], [0.5113, 0.5113, 0.4661]]
}



# 11
{
  "formula": "La3C2I3",
  "functional": "GGA-PBEsol",
  "state": "optimized geometry",
  "total_energy_ev_per_cell": -392.778,
  "total_magnetization_mub_per_fu": 0.00,
  "cell": [[10.6071, -0.0064, 0.0000], [-3.9275, 9.8532, 0.0000], [0.0000, 0.0000, 17.5570]],
  "species": ["La", "La", "La", "La", "La", "La", "La", "La", "La", "La", "La", "La", "La", "La", "La", "La", "La", "La", "La", "La", "La", "La", "La", "La", "C", "C", "C", "C", "C", "C", "C", "C", "C", "C", "C", "C", "C", "C", "C", "C", "I", "I", "I", "I", "I", "I", "I", "I", "I", "I", "I", "I", "I", "I", "I", "I", "I", "I", "I", "I", "I", "I", "I", "I"],
  "fractional_positions": [[0.1552, 0.8952, 0.9991], [0.7398, 0.7699, 0.3989], [0.6143, 0.3246, 0.9805], [0.6279, 0.3721, 0.7500], [0.5504, 0.0110, 0.6045], [0.3857, 0.6754, 0.4805], [0.7699, 0.7398, 0.6011], [0.4692, 0.9765, 0.3796], [0.9765, 0.4692, 0.6204], [0.5308, 0.0235, 0.8796], [0.4496, 0.9890, 0.1045], [0.1048, 0.8448, 0.5009], [0.3246, 0.6143, 0.0195], [0.0110, 0.5504, 0.3955], [0.8326, 0.1674, 0.7500], [0.2301, 0.2602, 0.1011], [0.2602, 0.2301, 0.8989], [0.9890, 0.4496, 0.8955], [0.6754, 0.3857, 0.5195], [0.1674, 0.8326, 0.2500], [0.8448, 0.1048, 0.4991], [0.0235, 0.5308, 0.1204], [0.3721, 0.6279, 0.2500], [0.8952, 0.1552, 0.0009], [0.2817, 0.7236, 0.3498], [0.9048, 0.5913, 0.5291], [0.6559, 0.8525, 0.5241], [0.5913, 0.9048, 0.4709], [0.7183, 0.2764, 0.8498], [0.7801, 0.2238, 0.9044], [0.2199, 0.7762, 0.4044], [0.2764, 0.7183, 0.1502], [0.7236, 0.2817, 0.6502], [0.3441, 0.1475, 0.0241], [0.8525, 0.6559, 0.4759], [0.1475, 0.3441, 0.9759], [0.2238, 0.7801, 0.0956], [0.0952, 0.4087, 0.0291], [0.4087, 0.0952, 0.9709], [0.7762, 0.2199, 0.5956], [0.3613, 0.0964, 0.7420], [0.8617, 0.6321, 0.9936], [0.9036, 0.6387, 0.7580], [0.5018, 0.5221, 0.8814], [0.1464, 0.3711, 0.7548], [0.3679, 0.1383, 0.5064], [0.4779, 0.4982, 0.6186], [0.9854, 0.9766, 0.1343], [0.4982, 0.4779, 0.3814], [0.1383, 0.3679, 0.4936], [0.7458, 0.2597, 0.3658], [0.9766, 0.9854, 0.8657], [0.0234, 0.0146, 0.3657], [0.2597, 0.7458, 0.6342], [0.7403, 0.2542, 0.1342], [0.2542, 0.7403, 0.8658], [0.6321, 0.8617, 0.0064], [0.0964, 0.3613, 0.2580], [0.0146, 0.0234, 0.6343], [0.3711, 0.1464, 0.2452], [0.6387, 0.9036, 0.2420], [0.6289, 0.8536, 0.7452], [0.5221, 0.5018, 0.1186], [0.8536, 0.6289, 0.2548]]
}



# 12
{
  "formula": "MnCoPb2",
  "functional": "GGA-PBEsol",
  "state": "optimized geometry",
  "relative_energy_mev_per_atom": 204.4,
  "e_form_kcal_per_mol_atoms": 14.22,
  "total_magnetization_mub_per_fu": 3.99,
  "cell": [[-2.0829, 2.1579, 1.3755], [2.1608, -1.1183, 4.0402], [3.3515, 3.1896, -0.9150]],
  "species": ["Co", "Mn", "Pb", "Pb"],
  "fractional_positions": [[0.5000, 0.0000, 0.0000], [0.5000, 0.5000, 0.5000], [0.0000, 0.5000, 0.0000], [0.0000, 0.0000, 0.5000]]
}